1.
## CrCdGe2 (PBE)

Data for crystalline CrCdGe2 at its relaxed geometry.

a = 4.333 Å, b = 4.333 Å, c = 9.202 Å
α = 76.38°, β = 76.38°, γ = 90.00°
Site moments in Bohr magnetons follow the coordinates.
Element x y z (fractional)
Ge: 0.180 0.625 0.250  -0.05
Ge: 0.375 0.430 0.750  -0.05
Ge: 0.875 0.820 0.750  -0.05
Cr: 0.250 0.750 0.500  3.36
Ge: 0.570 0.125 0.250  -0.05
Cr: 0.500 0.500 0.000  3.35
Cd: 0.000 0.000 0.000  0.02
Cd: 0.750 0.250 0.500  0.01

Its symmetry is No. 122. The value obtained for the formation energy is 0.3553 eV/atom.

***

2.
## Ac6Ge2Ru (PBE)

Data for crystalline Ac6Ge2Ru at its relaxed geometry.

a = 7.175 Å, b = 8.470 Å, c = 10.714 Å
α = 90.00°, β = 91.96°, γ = 90.00°
Element x y z (fractional)
Ac: 0.153 0.312 0.438
Ge: 0.940 0.384 0.751
Ac: 0.164 0.328 0.066
Ac: 0.857 0.962 0.247
Ge: 0.560 0.884 0.749
Ac: 0.357 0.538 0.747
Ac: 0.643 0.462 0.253
Ac: 0.653 0.188 0.938
Ac: 0.664 0.172 0.566
Ru: 0.000 0.000 0.500
Ac: 0.347 0.812 0.062
Ac: 0.336 0.828 0.434
Ac: 0.836 0.672 0.934
Ac: 0.143 0.038 0.753
Ru: 0.500 0.500 0.000
Ac: 0.847 0.688 0.562
Ge: 0.440 0.116 0.251
Ge: 0.060 0.616 0.249

Its symmetry is No. 14. The value obtained for the formation energy is -0.3856 eV/atom.

***

3.
## K2CuMo (PBE)

Data for crystalline K2CuMo at its relaxed geometry.

a = 6.100 Å, b = 6.100 Å, c = 3.702 Å
α = 90.00°, β = 90.00°, γ = 119.48°
Site moments in Bohr magnetons follow the coordinates.
Element x y z (fractional)
K: 0.000 0.000 0.000  0.01
Cu: 0.000 0.500 0.500  0.05
K: 0.500 0.500 0.000  0.01
Mo: 0.500 0.000 0.500  3.34

Its symmetry is No. 65. The value obtained for the formation energy is 1.3740 eV/atom.

***

4.
## Ba2LiOs (PBE)

Data for crystalline Ba2LiOs at its relaxed geometry.

a = 3.717 Å, b = 3.717 Å, c = 8.829 Å
α = 90.00°, β = 90.00°, γ = 90.02°
Element x y z (fractional)
Li: 0.000 0.000 0.582
Ba: 0.500 0.500 0.348
Os: 0.500 0.500 0.669
Ba: 0.000 0.000 0.901

Its symmetry is No. 99. The value obtained for the formation energy is 0.5908 eV/atom.

***

5.
## Pr5Sm3P8 (PBE)

Data for crystalline Pr5Sm3P8 at its relaxed geometry.

a = 8.336 Å, b = 8.336 Å, c = 8.337 Å
α = 60.00°, β = 60.00°, γ = 60.00°
Element x y z (fractional)
P: 0.248 0.248 0.256
P: 0.750 0.750 0.254
P: 0.250 0.754 0.746
P: 0.754 0.250 0.746
Pr: 0.000 0.500 0.000
Pr: 0.000 0.000 0.000
Pr: 0.500 0.500 0.000
Sm: 0.500 0.000 0.500
P: 0.752 0.752 0.744
P: 0.250 0.250 0.746
Pr: 0.500 0.500 0.500
Sm: 0.000 0.000 0.500
P: 0.750 0.246 0.254
Sm: 0.000 0.500 0.500
P: 0.246 0.750 0.254
Pr: 0.500 0.000 0.000

Its symmetry is No. 166. The value obtained for the formation energy is -1.5343 eV/atom.

***

6.
## GaGe (PBE)

Data for crystalline GaGe at its relaxed geometry.

a = 3.375 Å, b = 3.375 Å, c = 3.375 Å
α = 90.00°, β = 90.00°, γ = 90.00°
Element x y z (fractional)
Ge: 0.500 0.500 0.500
Ga: 0.000 0.000 0.000

Its symmetry is No. 221. The value obtained for the formation energy is 0.1791 eV/atom.

***

7.
## Ac2Ge7Au12 (PBE)

Data for crystalline Ac2Ge7Au12 at its relaxed geometry.

a = 4.804 Å, b = 10.245 Å, c = 10.245 Å
α = 120.00°, β = 90.00°, γ = 90.00°
Element x y z (fractional)
Au: 0.230 0.457 0.391
Au: 0.770 0.391 0.934
Ge: 0.323 0.724 0.616
Ac: 0.228 0.333 0.667
Ge: 0.323 0.384 0.108
Au: 0.820 0.261 0.133
Au: 0.820 0.867 0.128
Ac: 0.772 0.667 0.333
Au: 0.820 0.872 0.739
Au: 0.230 0.934 0.543
Ge: 0.323 0.892 0.276
Au: 0.770 0.543 0.609
Au: 0.180 0.739 0.867
Ge: 0.677 0.108 0.724
Ge: 0.677 0.616 0.892
Ge: 0.677 0.276 0.384
Au: 0.180 0.133 0.872
Ge: 0.500 0.000 0.000
Au: 0.770 0.066 0.457
Au: 0.180 0.128 0.261
Au: 0.230 0.609 0.066

Its symmetry is No. 147. The value obtained for the formation energy is -0.2850 eV/atom.

***

8.
## ReSb2TeBr (PBE)

Data for crystalline ReSb2TeBr at its relaxed geometry.

a = 5.254 Å, b = 5.254 Å, c = 5.203 Å
α = 90.00°, β = 90.00°, γ = 90.00°
Element x y z (fractional)
Br: 0.500 0.500 0.500
Re: 0.000 0.000 0.000
Sb: 0.500 0.000 0.000
Sb: 0.000 0.500 0.000
Te: 0.000 0.000 0.500

Its symmetry is No. 123. For the uncorrected formation energy, the calculation gives 0.469 eV per atom.

***

9.
## Ac3Nd2Hg3 (PBE)

Data for crystalline Ac3Nd2Hg3 at its relaxed geometry.

a = 3.982 Å, b = 5.753 Å, c = 12.297 Å
α = 103.53°, β = 99.32°, γ = 90.00°
Element x y z (fractional)
Ac: 0.622 0.622 0.244
Ac: 0.500 0.000 0.000
Nd: 0.266 0.766 0.533
Hg: 0.875 0.875 0.749
Ac: 0.378 0.378 0.756
Hg: 0.125 0.125 0.251
Nd: 0.734 0.234 0.467
Hg: 0.000 0.500 0.000

Its symmetry is No. 71. The value obtained for the formation energy is -0.3552 eV/atom.

***

10.
## Tb3NdPd12 (PBE)

Data for crystalline Tb3NdPd12 at its relaxed geometry.

a = 4.142 Å, b = 4.142 Å, c = 16.670 Å
α = 90.00°, β = 90.00°, γ = 90.00°
Element x y z (fractional)
Tb: 0.000 0.000 0.747
Tb: 0.000 0.000 0.500
Pd: 0.500 0.000 0.624
Nd: 0.000 0.000 0.000
Pd: 0.500 0.000 0.129
Pd: 0.500 0.500 0.748
Pd: 0.000 0.500 0.871
Pd: 0.000 0.500 0.624
Pd: 0.000 0.500 0.129
Pd: 0.500 0.500 0.000
Pd: 0.500 0.000 0.376
Pd: 0.500 0.500 0.500
Pd: 0.500 0.500 0.252
Pd: 0.500 0.000 0.871
Tb: 0.000 0.000 0.253
Pd: 0.000 0.500 0.376

Its symmetry is No. 123. The value obtained for the formation energy is -0.8407 eV/atom.

***

11.
## HfZn2W (PBE)

Data for crystalline HfZn2W at its relaxed geometry.

a = 4.516 Å, b = 4.516 Å, c = 4.516 Å
α = 60.00°, β = 60.00°, γ = 60.00°
Element x y z (fractional)
Zn: 0.250 0.250 0.250
Hf: 0.000 0.000 0.000
W: 0.500 0.500 0.500
Zn: 0.750 0.750 0.750

Its symmetry is No. 225. The value obtained for the formation energy is 0.2164 eV/atom.

***

12.
## Ta4CrRe (PBE)

Data for crystalline Ta4CrRe at its relaxed geometry.

a = 5.336 Å, b = 5.336 Å, c = 5.336 Å
α = 60.00°, β = 60.00°, γ = 60.00°
Site moments in Bohr magnetons follow the coordinates.
Element x y z (fractional)
Ta: 0.375 0.375 0.876  -0.14
Ta: 0.876 0.375 0.375  -0.14
Re: 0.000 0.000 0.000  -0.12
Ta: 0.375 0.876 0.375  -0.14
Cr: 0.750 0.750 0.750  2.83
Ta: 0.375 0.375 0.375  -0.14

Its symmetry is No. 216. The value obtained for the formation energy is 0.5333 eV/atom.